--- i ---
## Na3PPb (PBE)

Data for a geometry-optimized Na3PPb structure.

Cell lengths 5.384, 5.384, 5.384 Å; angles 90.00, 90.00, 90.00 degrees
Atoms (fractional coordinates):
Na: 0.000 0.500 0.000
Na: 0.500 0.000 0.000
Na: 0.000 0.000 0.500
P: 0.000 0.000 0.000
Pb: 0.500 0.500 0.500

Computed properties:
N(E_F), states/eV per cell: 5.52
Space-group type: Pm-3m



--- ii ---
## Na3PPb (PBE)

Data for a geometry-optimized Na3PPb structure.

Cell lengths 5.949, 5.949, 5.949 Å; angles 90.00, 90.00, 90.00 degrees
Site moments in Bohr magnetons follow the coordinates.
Atoms (fractional coordinates):
Na: 0.000 0.000 0.500  0.04
Na: 0.500 0.000 0.000  0.01
Na: 0.000 0.500 0.000  0.03
P: 0.500 0.500 0.500  0.88
Pb: 0.000 0.000 0.000  0.54

Computed properties:
N(E_F), states/eV per cell: 3.44
Space-group type: Pm-3m



Result of the stability comparison: i is the most stable of them.



--- i ---
## NaPPbS2 (PBE)

Data for a geometry-optimized NaPPbS2 structure.

Cell lengths 5.236, 5.236, 5.251 Å; angles 90.00, 90.00, 90.00 degrees
Site moments in Bohr magnetons follow the coordinates.
Atoms (fractional coordinates):
Na: 0.000 0.000 0.000  0.02
P: 0.000 0.000 0.500  0.77
S: 0.500 0.000 0.000  0.49
S: 0.000 0.500 0.000  0.49
Pb: 0.500 0.500 0.500  -0.02

Computed properties:
N(E_F), states/eV per cell: 4.37
Space-group type: P4/mmm



--- ii ---
## NaPPbS2 (PBE)

Data for a geometry-optimized NaPPbS2 structure.

Cell lengths 4.859, 5.251, 4.859 Å; angles 90.00, 90.00, 90.00 degrees
Atoms (fractional coordinates):
Pb: 0.000 0.500 0.000
S: 0.000 0.000 0.500
S: 0.500 0.000 0.000
P: 0.000 0.000 0.000
Na: 0.500 0.500 0.500

Computed properties:
N(E_F), states/eV per cell: 2.23
Space-group type: P4/mmm



Result of the stability comparison: ii is the most stable of them.



--- i ---
## NaP4Pd6 (PBE)

Data for a geometry-optimized NaP4Pd6 structure.

Cell lengths 6.341, 6.341, 6.341 Å; angles 94.31, 117.54, 117.54 degrees
Atoms (fractional coordinates):
P: 0.569 0.420 0.420
P: 0.431 0.851 0.851
P: 0.000 0.580 0.149
P: 0.000 0.149 0.580
Na: 0.000 0.000 0.000
Pd: 0.000 0.485 0.787
Pd: 0.000 0.787 0.485
Pd: 0.302 0.515 0.515
Pd: 0.500 0.500 0.000
Pd: 0.500 0.000 0.500
Pd: 0.698 0.213 0.213

Computed properties:
N(E_F), states/eV per cell: 3.99
Space-group type: I-42m



--- ii ---
## NaP4Pd6 (PBE)

Data for a geometry-optimized NaP4Pd6 structure.

Cell lengths 3.713, 7.252, 7.252 Å; angles 120.00, 90.00, 90.00 degrees
Atoms (fractional coordinates):
Pd: 0.000 0.928 0.464
Pd: 0.500 0.609 0.804
Pd: 0.500 0.196 0.391
Pd: 0.000 0.536 0.464
Pd: 0.000 0.536 0.072
Pd: 0.500 0.196 0.804
P: 0.000 0.333 0.667
P: 0.500 0.364 0.182
P: 0.500 0.818 0.182
P: 0.500 0.818 0.636
Na: 0.000 0.000 0.000

Computed properties:
N(E_F), states/eV per cell: 6.18
Space-group type: P-6m2



Result of the stability comparison: ii is the most stable of them.



--- i ---
## Na3PPd (PBE)

Data for a geometry-optimized Na3PPd structure.

Cell lengths 5.317, 5.317, 5.317 Å; angles 90.00, 90.00, 90.00 degrees
Atoms (fractional coordinates):
Pd: 0.500 0.500 0.500
Na: 0.000 0.000 0.500
Na: 0.000 0.500 0.000
Na: 0.500 0.000 0.000
P: 0.000 0.000 0.000

Computed properties:
N(E_F), states/eV per cell: 4.47
Space-group type: Pm-3m



--- ii ---
## Na3PPd (PBE)

Data for a geometry-optimized Na3PPd structure.

Cell lengths 5.316, 5.316, 5.316 Å; angles 90.00, 90.00, 90.00 degrees
Site moments in Bohr magnetons follow the coordinates.
Atoms (fractional coordinates):
Na: 0.500 0.000 0.000  0.00
Na: 0.000 0.000 0.500  0.01
Na: 0.000 0.500 0.000  0.00
Pd: 0.000 0.000 0.000  0.17
P: 0.500 0.500 0.500  0.68

Computed properties:
N(E_F), states/eV per cell: 1.91
Space-group type: Pm-3m



Result of the stability comparison: i is the most stable of them.



--- i ---
## RbNa2PPd (PBE)

Data for a geometry-optimized RbNa2PPd structure.

Cell lengths 5.501, 5.501, 4.676 Å; angles 90.00, 90.00, 90.00 degrees
Atoms (fractional coordinates):
P: 0.000 0.000 0.000
Rb: 0.500 0.500 0.500
Pd: 0.000 0.000 0.500
Na: 0.500 0.000 0.000
Na: 0.000 0.500 0.000

Computed properties:
N(E_F), states/eV per cell: 1.63
Space-group type: P4/mmm



--- ii ---
## RbNa2PPd (PBE)

Data for a geometry-optimized RbNa2PPd structure.

Cell lengths 5.571, 5.571, 4.581 Å; angles 90.00, 90.00, 90.00 degrees
Atoms (fractional coordinates):
P: 0.000 0.000 0.500
Na: 0.500 0.000 0.000
Na: 0.000 0.500 0.000
Rb: 0.500 0.500 0.500
Pd: 0.000 0.000 0.000

Computed properties:
N(E_F), states/eV per cell: 1.90
Space-group type: P4/mmm



Result of the stability comparison: i is the most stable of them.



--- i ---
## NaPPdS2 (PBE)

Data for a geometry-optimized NaPPdS2 structure.

Cell lengths 5.004, 5.004, 4.442 Å; angles 90.00, 90.00, 90.00 degrees
Atoms (fractional coordinates):
Na: 0.500 0.500 0.500
S: 0.500 0.000 0.000
S: 0.000 0.500 0.000
P: 0.000 0.000 0.500
Pd: 0.000 0.000 0.000

Computed properties:
N(E_F), states/eV per cell: 4.11
Space-group type: P4/mmm



--- ii ---
## NaPPdS2 (PBE)

Data for a geometry-optimized NaPPdS2 structure.

Cell lengths 4.778, 4.778, 4.794 Å; angles 90.00, 90.00, 90.00 degrees
Atoms (fractional coordinates):
Na: 0.000 0.000 0.000
P: 0.000 0.000 0.500
S: 0.500 0.000 0.000
S: 0.000 0.500 0.000
Pd: 0.500 0.500 0.500

Computed properties:
N(E_F), states/eV per cell: 6.25
Space-group type: P4/mmm



Result of the stability comparison: i is the most stable of them.



--- i ---
## NaPmP (PBE)

Data for a geometry-optimized NaPmP structure.

Cell lengths 4.751, 4.751, 4.751 Å; angles 60.00, 60.00, 60.00 degrees
Atoms (fractional coordinates):
Pm: 0.500 0.500 0.500
P: 0.250 0.250 0.250
Na: 0.000 0.000 0.000

Computed properties:
N(E_F), states/eV per cell: 1.78
Space-group type: F-43m



--- ii ---
## NaPmP (PBE)

Data for a geometry-optimized NaPmP structure.

Cell lengths 4.831, 4.831, 10.175 Å; angles 76.27, 76.27, 60.00 degrees
Atoms (fractional coordinates):
Na: 0.628 0.628 0.115
Na: 0.372 0.372 0.885
P: 0.885 0.885 0.344
P: 0.115 0.115 0.656
Pm: 0.212 0.212 0.364
Pm: 0.788 0.788 0.636

Computed properties:
N(E_F), states/eV per cell: 0.84
Space-group type: R-3m



Result of the stability comparison: i is the most stable of them.



--- i ---
## NaP2Pt (PBE)

Data for a geometry-optimized NaP2Pt structure.

Cell lengths 7.350, 7.350, 5.980 Å; angles 52.08, 52.08, 90.00 degrees
Atoms (fractional coordinates):
Pt: 0.750 0.250 0.500
Pt: 0.000 0.000 0.000
P: 0.375 0.292 0.750
P: 0.875 0.958 0.750
P: 0.708 0.125 0.250
P: 0.042 0.625 0.250
Na: 0.500 0.500 0.000
Na: 0.250 0.750 0.500

Computed properties:
N(E_F), states/eV per cell: 4.62
Space-group type: I-42d



--- ii ---
## NaP2Pt (PBE)

Data for a geometry-optimized NaP2Pt structure.

Cell lengths 4.472, 4.472, 4.472 Å; angles 60.00, 60.00, 60.00 degrees
Atoms (fractional coordinates):
P: 0.750 0.750 0.750
P: 0.250 0.250 0.250
Na: 0.000 0.000 0.000
Pt: 0.500 0.500 0.500

Computed properties:
N(E_F), states/eV per cell: 1.18
Space-group type: Fm-3m



Result of the stability comparison: i is the most stable of them.



--- i ---
## RbNa2PPt (PBE)

Data for a geometry-optimized RbNa2PPt structure.

Cell lengths 5.651, 5.651, 4.502 Å; angles 90.00, 90.00, 90.00 degrees
Atoms (fractional coordinates):
Na: 0.000 0.500 0.000
Na: 0.500 0.000 0.000
Rb: 0.500 0.500 0.500
P: 0.000 0.000 0.500
Pt: 0.000 0.000 0.000

Computed properties:
N(E_F), states/eV per cell: 2.07
Space-group type: P4/mmm



--- ii ---
## RbNa2PPt (PBE)

Data for a geometry-optimized RbNa2PPt structure.

Cell lengths 5.556, 5.556, 4.550 Å; angles 90.00, 90.00, 90.00 degrees
Atoms (fractional coordinates):
Pt: 0.000 0.000 0.500
Rb: 0.500 0.500 0.500
P: 0.000 0.000 0.000
Na: 0.500 0.000 0.000
Na: 0.000 0.500 0.000

Computed properties:
N(E_F), states/eV per cell: 1.84
Space-group type: P4/mmm



Result of the stability comparison: i is the most stable of them.



--- i ---
## NaPPtS2 (PBE)

Data for a geometry-optimized NaPPtS2 structure.

Cell lengths 5.094, 5.094, 4.394 Å; angles 90.00, 90.00, 90.00 degrees
Atoms (fractional coordinates):
S: 0.500 0.000 0.000
S: 0.000 0.500 0.000
P: 0.000 0.000 0.500
Pt: 0.000 0.000 0.000
Na: 0.500 0.500 0.500

Computed properties:
N(E_F), states/eV per cell: 5.17
Space-group type: P4/mmm



--- ii ---
## NaPPtS2 (PBE)

Data for a geometry-optimized NaPPtS2 structure.

Cell lengths 4.709, 4.709, 4.759 Å; angles 90.00, 90.00, 90.00 degrees
Site moments in Bohr magnetons follow the coordinates.
Atoms (fractional coordinates):
S: 0.500 0.000 0.000  0.05
S: 0.000 0.500 0.000  0.05
Na: 0.000 0.000 0.000  0.01
P: 0.000 0.000 0.500  0.12
Pt: 0.500 0.500 0.500  0.07

Computed properties:
N(E_F), states/eV per cell: 6.09
Space-group type: P4/mmm



Result of the stability comparison: i is the most stable of them.



--- i ---
## RbNa2P2 (PBE)

Data for a geometry-optimized RbNa2P2 structure.

Cell lengths 8.168, 8.168, 4.305 Å; angles 90.00, 90.00, 90.00 degrees
Site moments in Bohr magnetons follow the coordinates.
Atoms (fractional coordinates):
Rb: 0.500 0.500 0.000  0.01
Rb: 0.000 0.000 0.000  0.01
Na: 0.351 0.149 0.500  0.00
Na: 0.149 0.649 0.500  0.00
Na: 0.851 0.351 0.500  0.00
Na: 0.649 0.851 0.500  0.00
P: 0.405 0.905 0.000  0.07
P: 0.095 0.405 0.000  0.07
P: 0.595 0.095 0.000  0.07
P: 0.905 0.595 0.000  0.07

Computed properties:
N(E_F), states/eV per cell: 5.14
Space-group type: P4/mbm



--- ii ---
## RbNa2P2 (PBE)

Data for a geometry-optimized RbNa2P2 structure.

Cell lengths 4.942, 4.942, 6.493 Å; angles 67.63, 67.63, 90.00 degrees
Atoms (fractional coordinates):
Na: 0.750 0.250 0.500
Na: 0.250 0.750 0.500
Rb: 0.000 0.000 0.000
P: 0.599 0.599 0.802
P: 0.401 0.401 0.198

Computed properties:
N(E_F), states/eV per cell: 4.30
Space-group type: I4/mmm



Result of the stability comparison: ii is the most stable of them.



--- i ---
## RbNaP (PBE)

Data for a geometry-optimized RbNaP structure.

Cell lengths 8.380, 5.007, 12.357 Å; angles 90.00, 131.61, 90.00 degrees
Atoms (fractional coordinates):
Rb: 0.845 0.500 0.586
Rb: 0.845 0.000 0.086
Rb: 0.155 0.500 0.414
Rb: 0.155 0.000 0.914
Na: 0.398 0.000 0.273
Na: 0.602 0.000 0.727
Na: 0.398 0.500 0.773
Na: 0.602 0.500 0.227
P: 0.834 0.000 0.385
P: 0.166 0.500 0.115
P: 0.834 0.500 0.885
P: 0.166 0.000 0.615

Computed properties:
N(E_F), states/eV per cell: 3.81
Space-group type: C2/m



--- ii ---
## RbNaP (PBE)

Data for a geometry-optimized RbNaP structure.

Cell lengths 4.639, 5.147, 11.183 Å; angles 81.30, 83.66, 63.30 degrees
Atoms (fractional coordinates):
P: 0.552 0.447 0.904
P: 0.448 0.553 0.096
Na: 0.140 0.190 0.058
Na: 0.860 0.810 0.942
Rb: 0.234 0.186 0.710
Rb: 0.766 0.814 0.290

Computed properties:
N(E_F), states/eV per cell: 2.98
Space-group type: P-1



--- iii ---
## RbNaP (PBE)

Data for a geometry-optimized RbNaP structure.

Cell lengths 5.136, 5.730, 8.188 Å; angles 80.52, 75.41, 76.86 degrees
Atoms (fractional coordinates):
P: 0.691 0.503 0.982
P: 0.538 0.636 0.250
Na: 0.627 0.122 0.254
Na: 0.109 0.597 0.101
Rb: 0.948 0.576 0.557
Rb: 0.399 0.082 0.874

Computed properties:
N(E_F), states/eV per cell: 3.59
Space-group type: P1



Result of the stability comparison: ii is the most stable of them.